Material: ZrSbOs2
Method: DFT, PBE-GGA
State: relaxed

Calculated total energy = -8.620 eV per atom
Magnetic moment = 0.0 μB per formula unit
Formation energy without anion corrections = 0.65 eV per formula unit
Calculated volume = 72 Å³/f.u.

a b c (Å): 3.1724 4.0952 5.5291
angles (deg): 90.00 90.00 90.00
Last column: nearest neighbours and their distance in Å.
Fractional coordinates of all 4 atoms:
Zr 0.0000 0.0000 0.0000  6 Os 2.76-2.79
Sb 0.5000 0.5000 0.6813  6 Os 2.72-2.81
Os 0.0000 0.0000 0.5007  2 Zr 2.76-2.77, 4 Sb 2.78
Os 0.5000 0.5000 0.1890  2 Sb 2.72-2.81, 4 Zr 2.79